[1]
Th6ZnAg | the Alexandria database | PBE-GGA | relaxed; crystal system = tetragonal
1.0
-2.588 2.588 8.747
2.588 -2.588 8.747
2.588 2.588 -8.747
Th Zn Ag
6 1 1
direct
0.110 0.610 0.500 Th
0.250 0.250 0.000 Th
0.390 0.890 0.500 Th
0.610 0.110 0.500 Th
0.750 0.750 0.000 Th
0.890 0.390 0.500 Th
0.000 0.000 0.000 Zn
0.500 0.500 0.000 Ag

---

[2]
Al2HgP | the Alexandria database | PBE-GGA | relaxed; distance to the lowest polymorph of the same formula = 25.2 kJ per mole of atoms; crystal system = orthorhombic
1.0
1.802 -2.843 0.000
1.802 2.843 0.000
0.000 0.000 7.740
Al Hg P
2 1 1
direct
0.000 0.000 0.211 Al
0.000 0.000 0.789 Al
0.500 0.500 0.500 Hg
0.500 0.500 0.000 P

---

Formation energy from the elements across the listed records, respectively: -17 145 meV per atom.
Total DFT energy (no corrections) across the listed records, respectively: -6.097 -3.154 eV/atom.